{
  "formula": "MgCdIn2",
  "functional": "PBE",
  "state": "relaxed",
  "lattice_angstrom": [[3.259, 0.000, 0.000], [0.000, 3.259, 0.000], [0.000, 0.000, 9.192]],
  "species": ["Mg", "Cd", "In", "In"],
  "fractional_positions": [[0.000, 0.000, 0.000], [0.500, 0.500, 0.222], [0.000, 0.000, 0.479], [0.500, 0.500, 0.760]],
  "volume_a3_per_cell": 97.6,
  "sg": "P4mm (99)",
  "crystal_system": "tetragonal",
  "magnetic_moment_mub_per_fu": 0.0,
  "formation_energy_ev_per_atom": -0.022
}

{
  "formula": "MgCd2In2",
  "functional": "PBE",
  "state": "relaxed",
  "lattice_angstrom": [[-2.178, 2.178, 6.897], [2.178, -2.178, 6.897], [2.178, 2.178, -6.897]],
  "species": ["Mg", "Cd", "Cd", "In", "In"],
  "fractional_positions": [[0.000, 0.000, 0.000], [0.401, 0.401, 0.000], [0.599, 0.599, 0.000], [0.250, 0.750, 0.500], [0.750, 0.250, 0.500]],
  "volume_a3_per_cell": 130.9,
  "sg": "I4/mmm (139)",
  "e_above_lowest_polymorph_mev_per_atom": 110,
  "crystal_system": "tetragonal",
  "magnetic_moment_mub_per_fu": 0.0,
  "formation_energy_ev_per_atom": 0.092
}

{
  "formula": "Mg5Cd2In5",
  "functional": "PBE",
  "state": "relaxed",
  "lattice_angstrom": [[6.882, -2.233, 0.000], [6.882, 2.233, 0.000], [-4.558, 0.000, 9.197]],
  "species": ["Mg", "Mg", "Mg", "Mg", "Mg", "Cd", "Cd", "In", "In", "In", "In", "In"],
  "fractional_positions": [[0.000, 0.000, 0.000], [0.162, 0.162, 0.497], [0.256, 0.256, 0.248], [0.744, 0.744, 0.752], [0.838, 0.838, 0.503], [0.082, 0.082, 0.748], [0.918, 0.918, 0.252], [0.339, 0.339, 0.005], [0.402, 0.402, 0.741], [0.500, 0.500, 0.500], [0.598, 0.598, 0.259], [0.661, 0.661, 0.995]],
  "volume_a3_per_cell": 282.7,
  "sg": "C2/m (12)",
  "e_above_lowest_polymorph_mev_per_atom": 0,
  "crystal_system": "monoclinic",
  "magnetic_moment_mub_per_fu": 0.0,
  "formation_energy_ev_per_atom": -0.056
}

{
  "formula": "MgCd3In",
  "functional": "PBE",
  "state": "relaxed",
  "lattice_angstrom": [[5.375, 0.000, 0.000], [0.000, 5.375, 0.000], [0.000, 0.000, 5.375]],
  "species": ["Mg", "Cd", "Cd", "Cd", "In"],
  "fractional_positions": [[0.000, 0.000, 0.000], [0.000, 0.000, 0.500], [0.000, 0.500, 0.000], [0.500, 0.000, 0.000], [0.500, 0.500, 0.500]],
  "volume_a3_per_cell": 155.3,
  "sg": "Pm-3m (221)",
  "e_above_lowest_polymorph_mev_per_atom": 317,
  "crystal_system": "cubic",
  "magnetic_moment_mub_per_fu": 0.0,
  "formation_energy_ev_per_atom": 0.350
}

{
  "formula": "MgCd2In2",
  "functional": "PBE",
  "state": "relaxed",
  "lattice_angstrom": [[1.670, 0.964, 12.466], [-1.670, 0.964, 12.466], [0.000, -1.929, 12.466]],
  "species": ["Mg", "Cd", "Cd", "In", "In"],
  "fractional_positions": [[0.000, 0.000, 0.000], [0.134, 0.134, 0.134], [0.866, 0.866, 0.866], [0.399, 0.399, 0.399], [0.601, 0.601, 0.601]],
  "volume_a3_per_cell": 120.5,
  "sg": "R-3m (166)",
  "e_above_lowest_polymorph_mev_per_atom": 0,
  "crystal_system": "trigonal",
  "magnetic_moment_mub_per_fu": 0.0,
  "formation_energy_ev_per_atom": -0.019
}

{
  "formula": "Mg2CdIn2",
  "functional": "PBE",
  "state": "relaxed",
  "lattice_angstrom": [[4.941, 0.000, 0.000], [-2.470, 4.279, 0.000], [0.000, 0.000, 11.556]],
  "species": ["Mg", "Mg", "Mg", "Mg", "Cd", "Cd", "In", "In", "In", "In"],
  "fractional_positions": [[0.000, 0.000, 0.000], [0.000, 0.000, 0.500], [0.333, 0.667, 0.250], [0.667, 0.333, 0.750], [0.000, 0.000, 0.250], [0.000, 0.000, 0.750], [0.333, 0.667, 0.600], [0.333, 0.667, 0.900], [0.667, 0.333, 0.100], [0.667, 0.333, 0.400]],
  "volume_a3_per_cell": 244.3,
  "sg": "P6_3/mmc (194)",
  "e_above_lowest_polymorph_mev_per_atom": 0,
  "crystal_system": "hexagonal",
  "magnetic_moment_mub_per_fu": 0.0,
  "formation_energy_ev_per_atom": -0.008
}

{
  "formula": "Mg8Cd2In3",
  "functional": "PBE",
  "state": "relaxed",
  "lattice_angstrom": [[2.957, 1.707, 10.706], [-2.957, 1.707, 10.706], [0.000, -3.414, 10.706]],
  "species": ["Mg", "Mg", "Mg", "Mg", "Mg", "Mg", "Mg", "Mg", "Cd", "Cd", "In", "In", "In"],
  "fractional_positions": [[0.220, 0.220, 0.220], [0.223, 0.223, 0.723], [0.223, 0.723, 0.223], [0.277, 0.777, 0.777], [0.723, 0.223, 0.223], [0.777, 0.277, 0.777], [0.777, 0.777, 0.277], [0.780, 0.780, 0.780], [0.133, 0.133, 0.133], [0.867, 0.867, 0.867], [0.311, 0.311, 0.311], [0.500, 0.500, 0.500], [0.689, 0.689, 0.689]],
  "volume_a3_per_cell": 324.2,
  "sg": "R-3m (166)",
  "e_above_lowest_polymorph_mev_per_atom": 71,
  "crystal_system": "trigonal",
  "magnetic_moment_mub_per_fu": 0.0,
  "formation_energy_ev_per_atom": 0.054
}

{
  "formula": "Mg12Cd7In",
  "functional": "PBE",
  "state": "relaxed",
  "lattice_angstrom": [[7.096, 4.097, 2.683], [-7.096, 4.097, 2.683], [0.000, -8.193, 2.683]],
  "species": ["Mg", "Mg", "Mg", "Mg", "Mg", "Mg", "Mg", "Mg", "Mg", "Mg", "Mg", "Mg", "Cd", "Cd", "Cd", "Cd", "Cd", "Cd", "Cd", "In"],
  "fractional_positions": [[0.087, 0.376, 0.580], [0.101, 0.735, 0.154], [0.154, 0.101, 0.735], [0.265, 0.846, 0.899], [0.376, 0.580, 0.087], [0.420, 0.913, 0.624], [0.580, 0.087, 0.376], [0.624, 0.420, 0.913], [0.735, 0.154, 0.101], [0.846, 0.899, 0.265], [0.899, 0.265, 0.846], [0.913, 0.624, 0.420], [0.000, 0.000, 0.000], [0.137, 0.472, 0.281], [0.281, 0.137, 0.472], [0.472, 0.281, 0.137], [0.528, 0.719, 0.863], [0.719, 0.863, 0.528], [0.863, 0.528, 0.719], [0.500, 0.500, 0.500]],
  "volume_a3_per_cell": 468.0,
  "sg": "R-3 (148)",
  "crystal_system": "trigonal",
  "magnetic_moment_mub_per_fu": 0.0,
  "formation_energy_ev_per_atom": -0.010
}

{
  "formula": "MgCdIn2",
  "functional": "PBE",
  "state": "relaxed",
  "lattice_angstrom": [[3.287, 0.000, 0.000], [0.000, 3.287, 0.000], [0.000, 0.000, 8.921]],
  "species": ["Mg", "Cd", "In", "In"],
  "fractional_positions": [[0.000, 0.000, 0.000], [0.000, 0.000, 0.500], [0.500, 0.500, 0.245], [0.500, 0.500, 0.755]],
  "volume_a3_per_cell": 96.4,
  "sg": "P4/mmm (123)",
  "crystal_system": "tetragonal",
  "magnetic_moment_mub_per_fu": 0.0,
  "formation_energy_ev_per_atom": -0.019
}

{
  "formula": "Mg6CdIn8",
  "functional": "PBE",
  "state": "relaxed",
  "lattice_angstrom": [[4.235, 2.445, 6.211], [-4.235, 2.445, 6.211], [0.000, -4.890, 6.211]],
  "species": ["Mg", "Mg", "Mg", "Mg", "Mg", "Mg", "Cd", "In", "In", "In", "In", "In", "In", "In", "In"],
  "fractional_positions": [[0.132, 0.805, 0.425], [0.195, 0.575, 0.868], [0.425, 0.132, 0.805], [0.575, 0.868, 0.195], [0.805, 0.425, 0.132], [0.868, 0.195, 0.575], [0.500, 0.500, 0.500], [0.048, 0.382, 0.700], [0.201, 0.201, 0.201], [0.300, 0.952, 0.618], [0.382, 0.700, 0.048], [0.618, 0.300, 0.952], [0.700, 0.048, 0.382], [0.799, 0.799, 0.799], [0.952, 0.618, 0.300]],
  "volume_a3_per_cell": 385.9,
  "sg": "R-3 (148)",
  "crystal_system": "trigonal",
  "magnetic_moment_mub_per_fu": 0.0,
  "formation_energy_ev_per_atom": -0.011
}

{
  "formula": "MgCd2In5",
  "functional": "PBE",
  "state": "relaxed",
  "lattice_angstrom": [[-3.929, 3.929, 3.310], [3.929, -3.929, 3.310], [3.929, 3.929, -3.310]],
  "species": ["Mg", "Cd", "Cd", "In", "In", "In", "In", "In"],
  "fractional_positions": [[0.000, 0.000, 0.000], [0.000, 0.500, 0.500], [0.500, 0.000, 0.500], [0.000, 0.000, 0.500], [0.000, 0.500, 0.000], [0.500, 0.000, 0.000], [0.500, 0.500, 0.000], [0.500, 0.500, 0.500]],
  "volume_a3_per_cell": 204.4,
  "sg": "I4/mmm (139)",
  "e_above_lowest_polymorph_mev_per_atom": 0,
  "crystal_system": "tetragonal",
  "magnetic_moment_mub_per_fu": 0.0,
  "formation_energy_ev_per_atom": 0.023
}

{
  "formula": "Mg2CdIn3",
  "functional": "PBE",
  "state": "relaxed",
  "lattice_angstrom": [[0.000, 4.776, 9.858], [3.141, 0.000, 9.858], [3.141, 4.776, 0.000]],
  "species": ["Mg", "Mg", "Mg", "Mg", "Cd", "Cd", "In", "In", "In", "In", "In", "In"],
  "fractional_positions": [[0.246, 0.754, 0.754], [0.250, 0.250, 0.250], [0.750, 0.750, 0.750], [0.754, 0.246, 0.246], [0.321, 0.321, 0.679], [0.679, 0.679, 0.321], [0.167, 0.167, 0.833], [0.181, 0.658, 0.342], [0.342, 0.819, 0.181], [0.658, 0.181, 0.819], [0.819, 0.342, 0.658], [0.833, 0.833, 0.167]],
  "volume_a3_per_cell": 295.7,
  "sg": "Fmmm (69)",
  "e_above_lowest_polymorph_mev_per_atom": 28,
  "crystal_system": "orthorhombic",
  "magnetic_moment_mub_per_fu": 0.0,
  "formation_energy_ev_per_atom": -0.011
}

{
  "formula": "Mg2Cd3In2",
  "functional": "PBE",
  "state": "relaxed",
  "lattice_angstrom": [[-4.435, 4.435, 4.435], [4.435, -4.435, 4.435], [4.435, 4.435, -4.435]],
  "species": ["Mg", "Mg", "Mg", "Mg", "Cd", "Cd", "Cd", "Cd", "Cd", "Cd", "In", "In", "In", "In"],
  "fractional_positions": [[0.000, 0.377, 0.500], [0.123, 0.123, 0.123], [0.377, 0.500, 0.000], [0.500, 0.000, 0.377], [0.167, 0.750, 0.917], [0.250, 0.583, 0.333], [0.333, 0.250, 0.583], [0.583, 0.333, 0.250], [0.750, 0.917, 0.167], [0.917, 0.167, 0.750], [0.000, 0.808, 0.500], [0.500, 0.000, 0.808], [0.692, 0.692, 0.692], [0.808, 0.500, 0.000]],
  "volume_a3_per_cell": 349.0,
  "sg": "I2_13 (199)",
  "e_above_lowest_polymorph_mev_per_atom": 81,
  "crystal_system": "cubic",
  "magnetic_moment_mub_per_fu": 0.0,
  "formation_energy_ev_per_atom": 0.032
}

{
  "formula": "MgCdIn2",
  "functional": "PBE",
  "state": "relaxed",
  "lattice_angstrom": [[-2.262, 2.269, 4.686], [2.262, -2.269, 4.686], [2.262, 2.269, -4.686]],
  "species": ["Mg", "Cd", "In", "In"],
  "fractional_positions": [[0.000, 0.000, 0.000], [0.250, 0.750, 0.500], [0.500, 0.500, 0.000], [0.750, 0.250, 0.500]],
  "volume_a3_per_cell": 96.2,
  "sg": "Imm2 (44)",
  "crystal_system": "orthorhombic",
  "magnetic_moment_mub_per_fu": 0.0,
  "formation_energy_ev_per_atom": -0.032
}

{
  "formula": "MgCd9In2",
  "functional": "PBE",
  "state": "relaxed",
  "lattice_angstrom": [[4.520, 0.000, 0.000], [0.000, 4.520, 0.000], [0.000, 0.000, 13.543]],
  "species": ["Mg", "Cd", "Cd", "Cd", "Cd", "Cd", "Cd", "Cd", "Cd", "Cd", "In", "In"],
  "fractional_positions": [[0.000, 0.000, 0.000], [0.000, 0.500, 0.160], [0.000, 0.500, 0.500], [0.000, 0.500, 0.840], [0.500, 0.000, 0.160], [0.500, 0.000, 0.500], [0.500, 0.000, 0.840], [0.500, 0.500, 0.000], [0.500, 0.500, 0.331], [0.500, 0.500, 0.669], [0.000, 0.000, 0.329], [0.000, 0.000, 0.671]],
  "volume_a3_per_cell": 276.7,
  "sg": "P4/mmm (123)",
  "crystal_system": "tetragonal",
  "magnetic_moment_mub_per_fu": 0.0,
  "formation_energy_ev_per_atom": -0.001
}

{
  "formula": "Mg8Cd6In",
  "functional": "PBE",
  "state": "relaxed",
  "lattice_angstrom": [[4.228, 2.441, 5.846], [-4.228, 2.441, 5.846], [0.000, -4.882, 5.846]],
  "species": ["Mg", "Mg", "Mg", "Mg", "Mg", "Mg", "Mg", "Mg", "Cd", "Cd", "Cd", "Cd", "Cd", "Cd", "In"],
  "fractional_positions": [[0.060, 0.709, 0.382], [0.167, 0.167, 0.167], [0.291, 0.618, 0.940], [0.382, 0.060, 0.709], [0.618, 0.940, 0.291], [0.709, 0.382, 0.060], [0.833, 0.833, 0.833], [0.940, 0.291, 0.618], [0.106, 0.447, 0.786], [0.214, 0.894, 0.553], [0.447, 0.786, 0.106], [0.553, 0.214, 0.894], [0.786, 0.106, 0.447], [0.894, 0.553, 0.214], [0.500, 0.500, 0.500]],
  "volume_a3_per_cell": 361.9,
  "sg": "R-3 (148)",
  "crystal_system": "trigonal",
  "magnetic_moment_mub_per_fu": 0.0,
  "formation_energy_ev_per_atom": -0.016
}

{
  "formula": "Mg6CdIn10",
  "functional": "PBE",
  "state": "relaxed",
  "lattice_angstrom": [[8.994, 0.000, 0.000], [-4.497, 7.789, 0.000], [0.000, 0.000, 6.071]],
  "species": ["Mg", "Mg", "Mg", "Mg", "Mg", "Mg", "Cd", "In", "In", "In", "In", "In", "In", "In", "In", "In", "In"],
  "fractional_positions": [[0.000, 0.349, 0.154], [0.000, 0.651, 0.846], [0.349, 0.000, 0.154], [0.349, 0.349, 0.846], [0.651, 0.000, 0.846], [0.651, 0.651, 0.154], [0.000, 0.000, 0.000], [0.000, 0.291, 0.659], [0.000, 0.709, 0.341], [0.291, 0.000, 0.659], [0.291, 0.291, 0.341], [0.333, 0.667, 0.000], [0.333, 0.667, 0.500], [0.667, 0.333, 0.000], [0.667, 0.333, 0.500], [0.709, 0.000, 0.341], [0.709, 0.709, 0.659]],
  "volume_a3_per_cell": 425.3,
  "sg": "P-31m (162)",
  "crystal_system": "trigonal",
  "magnetic_moment_mub_per_fu": 0.0,
  "formation_energy_ev_per_atom": -0.018
}

{
  "formula": "Mg2CdIn",
  "functional": "PBE",
  "state": "relaxed",
  "lattice_angstrom": [[1.682, 0.971, 9.512], [-1.682, 0.971, 9.512], [0.000, -1.942, 9.512]],
  "species": ["Mg", "Mg", "Cd", "In"],
  "fractional_positions": [[0.248, 0.248, 0.248], [0.752, 0.752, 0.752], [0.500, 0.500, 0.500], [0.000, 0.000, 0.000]],
  "volume_a3_per_cell": 93.2,
  "sg": "R-3m (166)",
  "crystal_system": "trigonal",
  "magnetic_moment_mub_per_fu": 0.0,
  "formation_energy_ev_per_atom": -0.056
}

{
  "formula": "Mg4Cd8In",
  "functional": "PBE",
  "state": "relaxed",
  "lattice_angstrom": [[3.225, 0.000, 0.000], [0.000, 4.838, 0.000], [0.000, 0.000, 19.192]],
  "species": ["Mg", "Mg", "Mg", "Mg", "Cd", "Cd", "Cd", "Cd", "Cd", "Cd", "Cd", "Cd", "In"],
  "fractional_positions": [[0.000, 0.000, 0.000], [0.000, 0.500, 0.189], [0.500, 0.000, 0.431], [0.500, 0.500, 0.638], [0.000, 0.000, 0.285], [0.000, 0.000, 0.568], [0.000, 0.500, 0.479], [0.000, 0.500, 0.901], [0.500, 0.000, 0.143], [0.500, 0.000, 0.854], [0.500, 0.500, 0.048], [0.500, 0.500, 0.334], [0.000, 0.000, 0.721]],
  "volume_a3_per_cell": 299.4,
  "sg": "Pmm2 (25)",
  "crystal_system": "orthorhombic",
  "magnetic_moment_mub_per_fu": 0.0,
  "formation_energy_ev_per_atom": -0.031
}

{
  "formula": "MgCd2In2",
  "functional": "PBE",
  "state": "relaxed",
  "lattice_angstrom": [[-2.193, 2.193, 6.814], [2.193, -2.193, 6.814], [2.193, 2.193, -6.814]],
  "species": ["Mg", "Cd", "Cd", "In", "In"],
  "fractional_positions": [[0.000, 0.000, 0.000], [0.250, 0.750, 0.500], [0.750, 0.250, 0.500], [0.397, 0.397, 0.000], [0.603, 0.603, 0.000]],
  "volume_a3_per_cell": 131.0,
  "sg": "I4/mmm (139)",
  "e_above_lowest_polymorph_mev_per_atom": 121,
  "crystal_system": "tetragonal",
  "magnetic_moment_mub_per_fu": 0.0,
  "formation_energy_ev_per_atom": 0.102
}